Entry 1:
A plane-wave DFT calculation with PBE was carried out for crystalline Y2TiIn at its relaxed geometry.

## Properties
**M_tot**: 2.059 μB per formula unit
**Density**: 5.20 g cm⁻³
**Formation enthalpy at 0 K**: 0.29 eV per atom
**Calculated volume**: 27.17 Å³/atom

Structure (CIF):
```
data_Y2TiIn
_chemical_formula_sum 'Y6 Ti3 In3'
_space_group_name_H-M_alt 'R -3 m'
_space_group_IT_number 166
_space_group_name_Hall '-R 3 2"'
_cell_length_a 3.3401
_cell_length_b 3.3401
_cell_length_c 33.7469
_cell_angle_alpha 90.00
_cell_angle_beta 90.00
_cell_angle_gamma 120.00
loop_
_atom_site_label
_atom_site_fract_x
_atom_site_fract_y
_atom_site_fract_z
_atom_site_occupancy
Y1 0.0000 0.0000 0.0877 1
Ti1 0.0000 0.0000 0.0000 1
In1 0.0000 0.0000 0.5000 1
```


Entry 2:
A plane-wave DFT calculation with PBE was carried out for crystalline Tb5Pm2Ho2 at its relaxed geometry.

## Properties
**M_tot**: 0.000 μB per formula unit
**Density**: 8.07 g cm⁻³
**Formation enthalpy at 0 K**: 0.01 eV per atom
**Offset from the most stable computed form**: 0.00 eV per formula unit
**Calculated volume**: 32.34 Å³/atom

Structure (CIF):
```
data_Tb5Pm2Ho2
_chemical_formula_sum 'Tb5 Pm2 Ho2'
_space_group_name_H-M_alt 'P -1'
_space_group_IT_number 2
_space_group_name_Hall '-P 1'
_cell_length_a 3.607
_cell_length_b 8.885
_cell_length_c 9.517
_cell_angle_alpha 76.67
_cell_angle_beta 79.09
_cell_angle_gamma 89.99
loop_
_atom_site_label
_atom_site_fract_x
_atom_site_fract_y
_atom_site_fract_z
_atom_site_occupancy
Tb1 0.000 0.000 0.000 1
Tb2 0.077 0.670 0.850 1
Tb3 0.258 0.332 0.482 1
Pm1 0.409 0.666 0.185 1
Ho1 0.333 0.000 0.334 1
```


Entry 3:
A plane-wave DFT calculation with PBE was carried out for crystalline CdGa4O7 at its relaxed geometry.

## Properties
**Formation energy (no corrections)**: -1.634 eV per atom
**M_tot**: 0.123 μB per formula unit
**Density**: 4.21 g cm⁻³
**Calculated volume**: 16.53 Å³/atom

Structure (CIF):
```
data_CdGa4O7
_chemical_formula_sum 'Cd2 Ga8 O14'
_space_group_name_H-M_alt 'P m n 21'
_space_group_IT_number 31
_space_group_name_Hall 'P 2ac -2'
_cell_length_a 13.508
_cell_length_b 5.584
_cell_length_c 5.262
_cell_angle_alpha 90.00
_cell_angle_beta 90.00
_cell_angle_gamma 90.00
loop_
_atom_site_label
_atom_site_fract_x
_atom_site_fract_y
_atom_site_fract_z
_atom_site_occupancy
Cd1 0.000 0.153 0.000 1
Ga1 0.124 0.666 0.158 1
Ga2 0.248 0.832 0.638 1
O1 0.000 0.770 0.041 1
O2 0.136 0.343 0.075 1
O3 0.137 0.720 0.494 1
O4 0.218 0.867 0.989 1
```


Entry 4:
A plane-wave DFT calculation with PBE was carried out for crystalline PmIn2I8 at its relaxed geometry.

## Properties
**Formation energy (no corrections)**: -0.752 eV per atom
**M_tot**: 0.000 μB per formula unit
**Density**: 3.82 g cm⁻³
**Calculated volume**: 54.98 Å³/atom

Structure (CIF):
```
data_PmIn2I8
_chemical_formula_sum 'Pm2 In4 I16'
_space_group_name_H-M_alt 'C 1 2/m 1'
_space_group_IT_number 12
_space_group_name_Hall '-C 2y'
_cell_length_a 14.335
_cell_length_b 11.399
_cell_length_c 7.539
_cell_angle_alpha 90.00
_cell_angle_beta 100.93
_cell_angle_gamma 90.00
loop_
_atom_site_label
_atom_site_fract_x
_atom_site_fract_y
_atom_site_fract_z
_atom_site_occupancy
Pm1 0.000 0.000 0.000 1
In1 0.203 0.000 0.668 1
I1 0.090 0.188 0.782 1
I2 0.109 0.500 0.155 1
I3 0.194 0.000 0.276 1
```


Entry 5:
A plane-wave DFT calculation with PBE was carried out for crystalline CuSbPdPt at its relaxed geometry.

## Properties
**Formation energy (no corrections)**: -0.254 eV per atom
**M_tot**: 0.000 μB per formula unit
**Density**: 12.39 g cm⁻³
**Calculated volume**: 16.30 Å³/atom

Structure (CIF):
```
data_CuSbPdPt
_chemical_formula_sum 'Cu4 Sb4 Pd4 Pt4'
_space_group_name_H-M_alt 'F -4 3 m'
_space_group_IT_number 216
_space_group_name_Hall 'F -4 2 3'
_cell_length_a 6.390
_cell_length_b 6.390
_cell_length_c 6.390
_cell_angle_alpha 90.00
_cell_angle_beta 90.00
_cell_angle_gamma 90.00
loop_
_atom_site_label
_atom_site_fract_x
_atom_site_fract_y
_atom_site_fract_z
_atom_site_occupancy
Cu1 0.000 0.000 0.000 1
Sb1 0.000 0.000 0.500 1
Pd1 0.250 0.250 0.250 1
Pt1 0.250 0.250 0.750 1
```


Entry 6:
A plane-wave DFT calculation with PBE was carried out for crystalline Na4TlIn2Bi2 at its relaxed geometry.

## Properties
**M_tot**: 0.000 μB per formula unit
**Density**: 5.53 g cm⁻³
**Formation enthalpy at 0 K**: -0.16 eV per atom
**Calculated volume**: 31.50 Å³/atom

Structure (CIF):
```
data_Na4TlIn2Bi2
_chemical_formula_sum 'Na4 Tl1 In2 Bi2'
_space_group_name_H-M_alt 'P -1'
_space_group_IT_number 2
_space_group_name_Hall '-P 1'
_cell_length_a 6.037
_cell_length_b 6.476
_cell_length_c 7.888
_cell_angle_alpha 88.60
_cell_angle_beta 73.91
_cell_angle_gamma 73.42
loop_
_atom_site_label
_atom_site_fract_x
_atom_site_fract_y
_atom_site_fract_z
_atom_site_occupancy
Na1 0.149 0.177 0.341 1
Na2 0.344 0.362 0.911 1
Tl1 0.500 0.500 0.500 1
In1 0.285 0.881 0.863 1
Bi1 0.066 0.714 0.243 1
```


Entry 7:
A plane-wave DFT calculation with PBE was carried out for crystalline SrCeHgAu at its relaxed geometry.

## Properties
**M_tot**: 1.271 μB per formula unit
**Density**: 9.22 g cm⁻³
**Formation enthalpy at 0 K**: -0.48 eV per atom
**Calculated volume**: 28.16 Å³/atom

Structure (CIF):
```
data_SrCeHgAu
_chemical_formula_sum 'Sr4 Ce4 Hg4 Au4'
_space_group_name_H-M_alt 'F -4 3 m'
_space_group_IT_number 216
_space_group_name_Hall 'F -4 2 3'
_cell_length_a 7.666
_cell_length_b 7.666
_cell_length_c 7.666
_cell_angle_alpha 90.00
_cell_angle_beta 90.00
_cell_angle_gamma 90.00
loop_
_atom_site_label
_atom_site_fract_x
_atom_site_fract_y
_atom_site_fract_z
_atom_site_occupancy
Sr1 0.000 0.000 0.000 1
Ce1 0.000 0.000 0.500 1
Hg1 0.250 0.250 0.250 1
Au1 0.250 0.250 0.750 1
```


Entry 8:
A plane-wave DFT calculation with PBE was carried out for crystalline Li6H2BrN at its relaxed geometry.

## Properties
**Total energy**: -0.248 Ry per atom
**M_tot**: 0.017 μB per formula unit
**Density**: 1.74 g cm⁻³
**Calculated volume**: 13.10 Å³/atom

Structure (CIF):
```
data_Li6H2BrN
_chemical_formula_sum 'Li12 H4 Br2 N2'
_space_group_name_H-M_alt 'P 1 21/c 1'
_space_group_IT_number 14
_space_group_name_Hall '-P 2ybc'
_cell_length_a 5.905
_cell_length_b 5.620
_cell_length_c 9.766
_cell_angle_alpha 90.00
_cell_angle_beta 126.04
_cell_angle_gamma 90.00
loop_
_atom_site_label
_atom_site_fract_x
_atom_site_fract_y
_atom_site_fract_z
_atom_site_occupancy
Li1 0.070 0.232 0.146 1
Li2 0.292 0.092 0.481 1
Li3 0.305 0.684 0.194 1
H1 0.333 0.000 0.299 1
Br1 0.500 0.000 0.000 1
N1 0.000 0.000 0.500 1
```


Entry 9:
A plane-wave DFT calculation with PBE was carried out for crystalline Zr3Au at its relaxed geometry.

## Properties
**M_tot**: 0.000 μB per formula unit
**Density**: 9.19 g cm⁻³
**Formation enthalpy at 0 K**: -0.23 eV per atom
**Calculated volume**: 21.26 Å³/atom

Structure (CIF):
```
data_Zr3Au
_chemical_formula_sum 'Zr6 Au2'
_space_group_name_H-M_alt 'P m m n'
_space_group_IT_number 59
_cell_length_a 5.140
_cell_length_b 5.987
_cell_length_c 5.526
_cell_angle_alpha 90.00
_cell_angle_beta 90.00
_cell_angle_gamma 90.00
loop_
_space_group_symop_operation_xyz
'x,y,z'
'-x,-y,-z'
'-x+1/2,-y+1/2,z'
'x+1/2,y+1/2,-z'
'x+1/2,-y,-z'
'-x+1/2,y,z'
'-x,y+1/2,-z'
'x,-y+1/2,z'
loop_
_atom_site_label
_atom_site_fract_x
_atom_site_fract_y
_atom_site_fract_z
_atom_site_occupancy
Zr1 0.250 0.000 0.128 1
Zr2 0.250 0.250 0.620 1
Au1 0.250 0.750 0.649 1
```


Entry 10:
A plane-wave DFT calculation with PBE was carried out for crystalline CsKU2O7 at its relaxed geometry.

## Properties
**Formation energy (no corrections)**: -2.841 eV per atom
**M_tot**: 0.000 μB per formula unit
**Density**: 6.17 g cm⁻³
**Calculated volume**: 18.59 Å³/atom

Structure (CIF):
```
data_CsKU2O7
_chemical_formula_sum 'Cs1 K1 U2 O7'
_space_group_name_H-M_alt 'P 4/m m m'
_space_group_IT_number 123
_space_group_name_Hall '-P 4 2'
_cell_length_a 4.282
_cell_length_b 4.282
_cell_length_c 11.154
_cell_angle_alpha 90.00
_cell_angle_beta 90.00
_cell_angle_gamma 90.00
loop_
_atom_site_label
_atom_site_fract_x
_atom_site_fract_y
_atom_site_fract_z
_atom_site_occupancy
Cs1 0.000 0.000 0.000 1
K1 0.000 0.000 0.500 1
U1 0.500 0.500 0.308 1
O1 0.000 0.500 0.318 1
O2 0.500 0.500 0.137 1
O3 0.500 0.500 0.500 1
```